No. 1
Zr2HgBr after structural relaxation, computed with PBE.

a = 3.3445 Å, b = 5.6339 Å, c = 4.9305 Å
α = 90.00°, β = 90.00°, γ = 90.00°
Closest atoms and distances in Å follow each position.
Positions (direct):
Br 0.5000 0.0000 0.5000  4 Zr 2.98, 4 Hg 3.28
Zr 0.0000 0.0000 0.0000  4 Br 2.98, 4 Zr 3.28
Hg 0.0000 0.5000 0.5000  4 Zr 2.98, 4 Br 3.28
Zr 0.5000 0.5000 0.0000  4 Hg 2.98, 4 Zr 3.28

Summary:
E_tot = -4.7880 eV/atom
N(E_F) = 4.63 states/eV/f.u.
ΔE_f (raw) = -0.020 eV per atom
total moment = 0.000 Bohr magnetons per cell
ΔE to the lowest computed polymorph = 369 meV per atom

=====

No. 2
Ga2Ag2Au5 after structural relaxation, computed with PBE.

a = 7.4042 Å, b = 6.4627 Å, c = 8.8567 Å
α = 111.40°, β = 114.71°, γ = 90.00°
Closest atoms and distances in Å follow each position.
Positions (direct):
Ga 0.1022 0.1523 0.5000  4 Au 2.57-2.80, 2 Ag 2.86
Ga 0.0000 0.9425 0.0000  6 Au 2.55-2.67, 2 Ag 2.83
Au 0.6879 0.7840 0.0036  2 Ga 2.55-2.59, 2 Au 2.76-2.82
Au 0.3349 0.1256 0.3147  2 Ga 2.67-2.80, 3 Au 2.73-2.88, 2 Ag 2.91-2.95
Au 0.7689 0.0389 0.5000  2 Ga 2.57-2.67, 2 Ag 2.81, 2 Au 2.88
Au 0.8158 0.2840 0.0036  2 Ga 2.55-2.59, 2 Au 2.76-2.82
Au 0.6651 0.8108 0.6853  2 Ga 2.67-2.80, 3 Au 2.73-2.88, 2 Ag 2.91-2.95
Au 0.2311 0.5389 0.5000  2 Ga 2.57-2.67, 2 Ag 2.81, 2 Au 2.88
Ga 0.8978 0.6523 0.5000  4 Au 2.57-2.80, 2 Ag 2.86
Ag 0.9272 0.4828 0.7640  5 Au 2.81-2.95, 2 Ga 2.83-2.86
Au 0.4799 0.6256 0.3147  2 Ga 2.67-2.80, 3 Au 2.73-2.88, 2 Ag 2.91-2.95
Ga 0.5000 0.4425 0.0000  6 Au 2.55-2.67, 2 Ag 2.83
Ag 0.0728 0.7188 0.2360  5 Au 2.81-2.95, 2 Ga 2.83-2.86
Ag 0.3368 0.9828 0.7640  5 Au 2.81-2.95, 2 Ga 2.83-2.86
Ag 0.6632 0.2188 0.2360  5 Au 2.81-2.95, 2 Ga 2.83-2.86
Au 0.1842 0.2804 0.9964  2 Ga 2.55-2.59, 2 Au 2.76-2.82
Au 0.3121 0.7804 0.9964  2 Ga 2.55-2.59, 2 Au 2.76-2.82
Au 0.5201 0.3108 0.6853  2 Ga 2.67-2.80, 3 Au 2.73-2.88, 2 Ag 2.91-2.95

Summary:
E_tot = -3.1197 eV/atom
N(E_F) = 2.90 states/eV/f.u.
total moment = 0.000 Bohr magnetons per cell
energy relative to the elements = 0.007 eV per atom
ΔE to the lowest computed polymorph = 33 meV per atom

=====

No. 3
SrAcGeSb after structural relaxation, computed with PBE.

a = 5.6472 Å, b = 5.6472 Å, c = 5.6472 Å
α = 60.00°, β = 60.00°, γ = 60.00°
Closest atoms and distances in Å follow each position.
Positions (direct):
Ge 0.7500 0.7500 0.7500  4 Ac 3.46, 4 Sr 3.46
Ac 0.5000 0.5000 0.5000  4 Ge 3.46, 4 Sb 3.46
Sr 0.0000 0.0000 0.0000  4 Ge 3.46, 4 Sb 3.46
Sb 0.2500 0.2500 0.2500  4 Ac 3.46, 4 Sr 3.46

Summary:
E_tot = -4.2592 eV/atom
N(E_F) = 3.94 states/eV/f.u.
ΔE_f (raw) = -0.627 eV per atom
total moment = 0.000 Bohr magnetons per cell

=====

Question: What is the formula in the third record?
Answer: SrAcGeSb

=====

Question: Among the records above, which one has the lowest N(E_F)?
Answer: Ga2Ag2Au5

=====

Question: Number 2 is which compound?
Answer: Ga2Ag2Au5